1.
# RbZnOs3 | Alexandria | PBE | optimized geometry
data_RbZnOs3
_symmetry_space_group_name_H-M 'P 1'
_symmetry_Int_Tables_number 1
_cell_length_a 4.725
_cell_length_b 4.725
_cell_length_c 4.725
_cell_angle_alpha 90.00
_cell_angle_beta 90.00
_cell_angle_gamma 90.00
loop_
_symmetry_equiv_pos_as_xyz
'x,y,z'
loop_
_atom_site_label
_atom_site_fract_x
_atom_site_fract_y
_atom_site_fract_z
Os1 0.500 0.000 0.000
Os2 0.000 0.000 0.500
Os3 0.000 0.500 0.000
Rb1 0.500 0.500 0.500
Zn1 0.000 0.000 0.000
# ΔH_f (0 K), eV per atom: 2.3933
# Relative energy among the computed polymorphs, eV per formula unit: 0.000
# Total magnetic moment, μB/cell: 2.84
# Space group: Pm-3m
# Total energy, eV/atom: -4.79

=====

2.
# Ti2ZnP2 | Alexandria | PBE | optimized geometry
data_Ti2ZnP2
_symmetry_space_group_name_H-M 'P 1'
_symmetry_Int_Tables_number 1
_cell_length_a 6.729
_cell_length_b 6.729
_cell_length_c 3.254
_cell_angle_alpha 90.00
_cell_angle_beta 90.00
_cell_angle_gamma 90.00
loop_
_symmetry_equiv_pos_as_xyz
'x,y,z'
loop_
_atom_site_label
_atom_site_fract_x
_atom_site_fract_y
_atom_site_fract_z
Ti1 0.146 0.646 0.500
Ti2 0.354 0.146 0.500
Ti3 0.646 0.854 0.500
Ti4 0.854 0.354 0.500
P1 0.646 0.146 0.000
P2 0.146 0.354 0.000
P3 0.854 0.646 0.000
P4 0.354 0.854 0.000
Zn1 0.000 0.000 0.000
Zn2 0.500 0.500 0.000
# ΔH_f (0 K), eV per atom: -0.7330
# Total magnetic moment, μB/cell: 0.00
# Space group: P4/mbm
# Total energy, eV/atom: -6.31

=====

3.
# TlTeAsSe3 | Alexandria | PBE | optimized geometry
data_TlTeAsSe3
_symmetry_space_group_name_H-M 'P 1'
_symmetry_Int_Tables_number 1
_cell_length_a 3.934
_cell_length_b 8.440
_cell_length_c 11.729
_cell_angle_alpha 112.68
_cell_angle_beta 90.00
_cell_angle_gamma 90.00
loop_
_symmetry_equiv_pos_as_xyz
'x,y,z'
loop_
_atom_site_label
_atom_site_fract_x
_atom_site_fract_y
_atom_site_fract_z
Te1 0.750 0.849 0.442
Te2 0.250 0.151 0.558
Se1 0.250 0.666 0.495
Se2 0.750 0.481 0.129
Se3 0.750 0.334 0.505
Se4 0.250 0.092 0.927
Se5 0.750 0.908 0.073
Se6 0.250 0.519 0.871
As1 0.750 0.289 0.914
As2 0.250 0.711 0.086
Tl1 0.250 0.258 0.226
Tl2 0.750 0.742 0.774
# Energy relative to the elements, uncorrected, eV per atom: -0.11
# Total magnetic moment, μB/cell: 0.00
# Space group: P2_1/m
# Total energy, eV/atom: -3.54

=====

4.
# LiPmIrO4 | Alexandria | PBE | optimized geometry
data_LiPmIrO4
_symmetry_space_group_name_H-M 'P 1'
_symmetry_Int_Tables_number 1
_cell_length_a 6.448
_cell_length_b 6.539
_cell_length_c 7.297
_cell_angle_alpha 123.92
_cell_angle_beta 90.00
_cell_angle_gamma 119.54
loop_
_symmetry_equiv_pos_as_xyz
'x,y,z'
loop_
_atom_site_label
_atom_site_fract_x
_atom_site_fract_y
_atom_site_fract_z
O1 0.763 0.526 0.339
O2 0.237 0.474 0.313
O3 0.715 0.972 0.736
O4 0.237 0.474 0.661
O5 0.285 0.028 0.264
O6 0.257 0.972 0.736
O7 0.743 0.028 0.264
O8 0.763 0.526 0.687
Ir1 0.500 0.500 0.500
Ir2 0.000 0.500 0.500
Pm1 0.500 0.000 0.000
Pm2 0.500 0.000 0.500
Li1 0.941 0.881 0.191
Li2 0.059 0.119 0.809
# Energy relative to the elements, uncorrected, eV per atom: -1.87
# Total magnetic moment, μB/cell: 1.01
# Space group: Imma
# Total energy, eV/atom: -6.92

=====

5.
# K2InIO6 | Alexandria | PBE | optimized geometry
data_K2InIO6
_symmetry_space_group_name_H-M 'P 1'
_symmetry_Int_Tables_number 1
_cell_length_a 6.016
_cell_length_b 6.016
_cell_length_c 10.362
_cell_angle_alpha 73.13
_cell_angle_beta 73.13
_cell_angle_gamma 60.00
loop_
_symmetry_equiv_pos_as_xyz
'x,y,z'
loop_
_atom_site_label
_atom_site_fract_x
_atom_site_fract_y
_atom_site_fract_z
K1 0.728 0.728 0.815
K2 0.869 0.869 0.393
K3 0.272 0.272 0.185
K4 0.131 0.131 0.607
O1 0.186 0.186 0.885
O2 0.186 0.744 0.885
O3 0.395 0.830 0.380
O4 0.744 0.186 0.885
O5 0.605 0.605 0.620
O6 0.170 0.605 0.620
O7 0.605 0.170 0.620
O8 0.395 0.395 0.380
O9 0.256 0.814 0.115
O10 0.814 0.256 0.115
O11 0.830 0.395 0.380
O12 0.814 0.814 0.115
In1 0.598 0.598 0.205
In2 0.402 0.402 0.795
I1 0.000 0.000 0.000
I2 0.500 0.500 0.500
# Energy relative to the elements, uncorrected, eV per atom: -1.09
# Total magnetic moment, μB/cell: 0.00
# Space group: R-3m
# Total energy, eV/atom: -4.71